The following is a DFT calculation (PBE) of an optimized crystal structure of Y2GaSb.

It has space group Fm-3m (No. 225), with a = 7.426 Å, b = 7.426 Å, c = 7.426 Å, α = 90.00°, β = 90.00° and γ = 90.00°. The distinct sites, in fractional coordinates, are Y at (0.250, 0.250, 0.250), Ga at (0.000, 0.000, 0.000) and Sb at (0.000, 0.000, 0.500).

For the density of states at the Fermi level, the calculation gives 1.175 states/eV per atom. The formation energy (no corrections) comes out at -0.61 eV per atom. The magnetic moment is 0.0 μB/cell.

---

The following is a DFT calculation (PBE) of an optimized crystal structure of Y2GaSb.

It has space group Cmcm (No. 63), with a = 4.402 Å, b = 23.379 Å, c = 4.241 Å, α = 90.00°, β = 90.00° and γ = 90.00°. The distinct sites, in fractional coordinates, are Y at (0.000, 0.061, 0.250), Y at (0.000, 0.322, 0.250), Ga at (0.000, 0.464, 0.250) and Sb at (0.000, 0.189, 0.250).

For the density of states at the Fermi level, the calculation gives 0.426 states/eV per atom. The formation energy (no corrections) comes out at -0.88 eV per atom. The magnetic moment is 0.0 μB/cell.

---

The following is a DFT calculation (PBE) of an optimized crystal structure of YGaSb.

It has space group Cmcm (No. 63), with a = 4.361 Å, b = 15.990 Å, c = 4.285 Å, α = 90.00°, β = 90.00° and γ = 90.00°. The distinct sites, in fractional coordinates, are Y at (0.000, 0.099, 0.250), Ga at (0.000, 0.456, 0.250) and Sb at (0.000, 0.250, 0.750).

For the density of states at the Fermi level, the calculation gives 0.406 states/eV per atom. The formation energy (no corrections) comes out at -0.62 eV per atom. The magnetic moment is 0.0 μB/cell.

---

The following is a DFT calculation (PBE) of an optimized crystal structure of Y2GaSb.

It has space group R-3m (No. 166, hexagonal axes), with a = 4.1545 Å, b = 4.1545 Å, c = 22.5681 Å, α = 90.00°, β = 90.00° and γ = 120.00°. The distinct sites, in fractional coordinates, are Y at (0.0000, 0.0000, 0.2492), Ga at (0.0000, 0.0000, 0.0000) and Sb at (0.0000, 0.0000, 0.5000).

For the density of states at the Fermi level, the calculation gives 0.685 states/eV per atom. The formation energy (no corrections) comes out at -0.72 eV per atom. The magnetic moment is 0.0 μB/cell.

---

The following is a DFT calculation (PBE) of an optimized crystal structure of YGa3Sb.

It has space group Pm-3m (No. 221), with a = 5.236 Å, b = 5.236 Å, c = 5.236 Å, α = 90.00°, β = 90.00° and γ = 90.00°. The distinct sites, in fractional coordinates, are Y at (0.000, 0.000, 0.000), Ga at (0.000, 0.500, 0.500) and Sb at (0.500, 0.500, 0.500).

For the density of states at the Fermi level, the calculation gives 0.602 states/eV per atom. The formation energy (no corrections) comes out at 0.42 eV per atom. The magnetic moment is 0.0 μB/cell.

---

The following is a DFT calculation (PBE) of an optimized crystal structure of YGa2Sb2.

It has space group I4/mmm (No. 139), with a = 4.058 Å, b = 4.058 Å, c = 15.789 Å, α = 90.00°, β = 90.00° and γ = 90.00°. The distinct sites, in fractional coordinates, are Y at (0.000, 0.000, 0.000), Ga at (0.000, 0.500, 0.250) and Sb at (0.000, 0.000, 0.404).

For the density of states at the Fermi level, the calculation gives 0.461 states/eV per atom. The formation energy (no corrections) comes out at -0.31 eV per atom. The magnetic moment is 0.0 μB/cell.

---

The following is a DFT calculation (PBE) of an optimized crystal structure of YGaSb3.

It has space group Pm-3m (No. 221), with a = 5.294 Å, b = 5.294 Å, c = 5.294 Å, α = 90.00°, β = 90.00° and γ = 90.00°. The distinct sites, in fractional coordinates, are Y at (0.000, 0.000, 0.000), Ga at (0.500, 0.500, 0.500) and Sb at (0.000, 0.500, 0.500).

For the density of states at the Fermi level, the calculation gives 0.922 states/eV per atom. The formation energy (no corrections) comes out at 0.18 eV per atom. The magnetic moment is 0.0 μB/cell.

---

The following is a DFT calculation (PBE) of an optimized crystal structure of YGa3Sb.

It has space group Pm-3m (No. 221), with a = 5.477 Å, b = 5.477 Å, c = 5.477 Å, α = 90.00°, β = 90.00° and γ = 90.00°. The distinct sites, in fractional coordinates, are Y at (0.000, 0.000, 0.000), Ga at (0.000, 0.000, 0.500) and Sb at (0.500, 0.500, 0.500).

For the density of states at the Fermi level, the calculation gives 1.431 states/eV per atom. The formation energy (no corrections) comes out at 0.67 eV per atom. The magnetic moment is 0.0 μB/cell.